1.
Density functional theory data (PBE) for an optimized crystal structure of ZnSnHgSb.

Properties
uncorrected energy	-2.28	eV/atom
crystal system	cubic
theoretical density	8.43	g/cm³
ΔE_f (raw)	0.14	eV/atom

abc: 7.3622 7.3622 7.3622
angles: 90.00 90.00 90.00
Atoms (fractional coordinates):
Zn1 0.0000 0.0000 0.0000
Zn2 0.0000 0.5000 0.5000
Zn3 0.5000 0.0000 0.5000
Zn4 0.5000 0.5000 0.0000
Sn1 0.0000 0.0000 0.5000
Sn2 0.0000 0.5000 0.0000
Sn3 0.5000 0.0000 0.0000
Sn4 0.5000 0.5000 0.5000
Hg1 0.2500 0.2500 0.2500
Hg2 0.2500 0.7500 0.7500
Hg3 0.7500 0.2500 0.7500
Hg4 0.7500 0.7500 0.2500
Sb1 0.2500 0.2500 0.7500
Sb2 0.2500 0.7500 0.2500
Sb3 0.7500 0.2500 0.2500
Sb4 0.7500 0.7500 0.7500


2.
Density functional theory data (PBE) for an optimized crystal structure of Sr2HgSb2.

Properties
uncorrected energy	-3.18	eV/atom
crystal system	monoclinic
theoretical density	5.99	g/cm³
ΔE_f (raw)	-0.79	eV/atom

abc: 9.5934 8.3484 8.5818
angles: 90.00 90.02 90.00
Atoms (fractional coordinates):
Sr1 0.1033 0.2501 0.0002
Sr2 0.1033 0.2499 0.5002
Sr3 0.3539 0.7498 0.0001
Sr4 0.3539 0.7502 0.5001
Sr5 0.6461 0.2502 0.9999
Sr6 0.6461 0.2498 0.4999
Sr7 0.8967 0.7499 0.9998
Sr8 0.8967 0.7501 0.4998
Hg1 0.3855 0.0863 0.2498
Hg2 0.3855 0.4137 0.7498
Hg3 0.6145 0.5863 0.2502
Hg4 0.6145 0.9137 0.7502
Sb1 0.1252 0.5733 0.7500
Sb2 0.1252 0.9267 0.2500
Sb3 0.3527 0.0759 0.7504
Sb4 0.3527 0.4241 0.2504
Sb5 0.6473 0.5759 0.7496
Sb6 0.6473 0.9241 0.2496
Sb7 0.8748 0.0733 0.7500
Sb8 0.8748 0.4267 0.2500


3.
Density functional theory data (PBE) for an optimized crystal structure of Sr3Hg2Sb.

Properties
uncorrected energy	-2.35	eV/atom
crystal system	orthorhombic
theoretical density	6.65	g/cm³
ΔE_f (raw)	-0.73	eV/atom

abc: 9.0944 9.0944 7.9863
angles: 90.00 90.00 143.56
Atoms (fractional coordinates):
Sr1 0.0000 0.0000 0.2447
Sr2 0.0000 0.0000 0.7553
Sr3 0.3318 0.6682 0.2539
Sr4 0.3318 0.6682 0.7461
Sr5 0.6682 0.3318 0.2539
Sr6 0.6682 0.3318 0.7461
Hg1 0.1669 0.8331 0.0000
Hg2 0.5000 0.5000 0.0000
Hg3 0.5000 0.5000 0.5000
Hg4 0.8331 0.1669 0.0000
Sb1 0.1574 0.8426 0.5000
Sb2 0.8426 0.1574 0.5000


4.
Density functional theory data (PBE) for an optimized crystal structure of Sr2HgSb2.

Properties
uncorrected energy	-3.09	eV/atom
crystal system	tetragonal
theoretical density	6.16	g/cm³
ΔE_f (raw)	-0.71	eV/atom

abc: 8.4296 8.4296 4.6961
angles: 90.00 90.00 90.00
Atoms (fractional coordinates):
Sr1 0.1786 0.3214 0.0000
Sr2 0.3214 0.8214 0.0000
Sr3 0.6786 0.1786 0.0000
Sr4 0.8214 0.6786 0.0000
Hg1 0.0000 0.0000 0.5000
Hg2 0.5000 0.5000 0.5000
Sb1 0.1205 0.6205 0.5000
Sb2 0.3795 0.1205 0.5000
Sb3 0.6205 0.8795 0.5000
Sb4 0.8795 0.3795 0.5000


5.
Density functional theory data (PBE) for an optimized crystal structure of Sr2HgSb2.

Properties
uncorrected energy	-2.88	eV/atom
crystal system	tetragonal
theoretical density	5.79	g/cm³
ΔE_f (raw)	-0.50	eV/atom

abc: 4.4354 4.4354 18.0526
angles: 90.00 90.00 90.00
Atoms (fractional coordinates):
Sr1 0.0000 0.0000 0.1086
Sr2 0.0000 0.0000 0.8914
Sr3 0.5000 0.5000 0.3914
Sr4 0.5000 0.5000 0.6086
Hg1 0.0000 0.0000 0.5000
Hg2 0.5000 0.5000 0.0000
Sb1 0.0000 0.5000 0.2500
Sb2 0.0000 0.5000 0.7500
Sb3 0.5000 0.0000 0.2500
Sb4 0.5000 0.0000 0.7500


6.
Density functional theory data (PBE) for an optimized crystal structure of Sr2HgSb2.

Properties
uncorrected energy	-3.10	eV/atom
crystal system	monoclinic
theoretical density	6.26	g/cm³
ΔE_f (raw)	-0.72	eV/atom

abc: 6.7984 6.7984 11.6067
angles: 109.91 109.91 41.12
Atoms (fractional coordinates):
Sr1 0.0129 0.0129 0.3323
Sr2 0.1800 0.1800 0.1109
Sr3 0.8200 0.8200 0.8891
Sr4 0.9871 0.9871 0.6677
Hg1 0.2881 0.2881 0.6566
Hg2 0.7119 0.7119 0.3434
Sb1 0.3670 0.3670 0.4234
Sb2 0.4503 0.4503 0.0984
Sb3 0.5497 0.5497 0.9016
Sb4 0.6330 0.6330 0.5766


7.
Density functional theory data (PBE) for an optimized crystal structure of Sr2HgSb2.

Properties
uncorrected energy	-2.97	eV/atom
crystal system	tetragonal
theoretical density	5.11	g/cm³
ΔE_f (raw)	-0.59	eV/atom

abc: 6.2620 6.2620 10.2658
angles: 90.00 90.00 90.00
Atoms (fractional coordinates):
Sr1 0.0000 0.5000 0.2500
Sr2 0.0000 0.5000 0.7500
Sr3 0.5000 0.0000 0.2500
Sr4 0.5000 0.0000 0.7500
Hg1 0.0000 0.0000 0.0000
Hg2 0.5000 0.5000 0.5000
Sb1 0.0000 0.0000 0.3591
Sb2 0.0000 0.0000 0.6409
Sb3 0.5000 0.5000 0.1409
Sb4 0.5000 0.5000 0.8591


8.
Density functional theory data (PBE) for an optimized crystal structure of SrHg3Sb.

Properties
uncorrected energy	-0.88	eV/atom
crystal system	cubic
theoretical density	5.92	g/cm³
ΔE_f (raw)	0.46	eV/atom
polymorph energy (0 for the lowest one)	3.991	eV/f.u.

abc: 6.1037 6.1037 6.1037
angles: 90.00 90.00 90.00
Atoms (fractional coordinates):
Sr1 0.0000 0.0000 0.0000
Hg1 0.0000 0.0000 0.5000
Hg2 0.0000 0.5000 0.0000
Hg3 0.5000 0.0000 0.0000
Sb1 0.5000 0.5000 0.5000


9.
Density functional theory data (PBE) for an optimized crystal structure of Sr6Hg5Sb.

Properties
uncorrected energy	-1.94	eV/atom
crystal system	orthorhombic
theoretical density	7.05	g/cm³
ΔE_f (raw)	-0.63	eV/atom

abc: 9.8688 9.8688 9.8688
angles: 146.59 132.18 59.58
Atoms (fractional coordinates):
Sr1 0.0836 0.3343 0.7493
Sr2 0.2492 0.0000 0.2492
Sr3 0.4150 0.6657 0.7493
Sr4 0.5850 0.3343 0.2507
Sr5 0.7508 0.0000 0.7508
Sr6 0.9164 0.6657 0.2507
Hg1 0.1734 0.1734 0.0000
Hg2 0.3350 0.8350 0.5000
Hg3 0.5000 0.5000 0.0000
Hg4 0.6650 0.1650 0.5000
Hg5 0.8266 0.8266 0.0000
Sb1 0.0000 0.5000 0.5000


10.
Density functional theory data (PBE) for an optimized crystal structure of SrHg2Sb.

Properties
uncorrected energy	-1.99	eV/atom
crystal system	tetragonal
theoretical density	7.90	g/cm³
ΔE_f (raw)	-0.39	eV/atom

abc: 4.7544 4.7544 22.7113
angles: 90.00 90.00 90.00
Atoms (fractional coordinates):
Sr1 0.0000 0.0000 0.0000
Sr2 0.0000 0.5000 0.2500
Sr3 0.5000 0.0000 0.7500
Sr4 0.5000 0.5000 0.5000
Hg1 0.2190 0.2500 0.6250
Hg2 0.2500 0.7190 0.8750
Hg3 0.2500 0.7810 0.3750
Hg4 0.2810 0.2500 0.1250
Hg5 0.7190 0.7500 0.1250
Hg6 0.7500 0.2190 0.3750
Hg7 0.7500 0.2810 0.8750
Hg8 0.7810 0.7500 0.6250
Sb1 0.0000 0.0000 0.5000
Sb2 0.0000 0.5000 0.7500
Sb3 0.5000 0.0000 0.2500
Sb4 0.5000 0.5000 0.0000


11.
Density functional theory data (PBE) for an optimized crystal structure of Sr3HgSb3.

Properties
uncorrected energy	-3.31	eV/atom
crystal system	orthorhombic
theoretical density	5.46	g/cm³
ΔE_f (raw)	-0.77	eV/atom

abc: 10.9986 10.9986 13.8318
angles: 90.00 90.00 37.06
Atoms (fractional coordinates):
Sr1 0.0377 0.6138 0.1289
Sr2 0.1138 0.5377 0.6289
Sr3 0.2081 0.7919 0.8591
Sr4 0.2919 0.7081 0.3591
Sr5 0.3862 0.9623 0.1289
Sr6 0.4623 0.8862 0.6289
Sr7 0.5377 0.1138 0.3711
Sr8 0.6138 0.0377 0.8711
Sr9 0.7081 0.2919 0.6409
Sr10 0.7919 0.2081 0.1409
Sr11 0.8862 0.4623 0.3711
Sr12 0.9623 0.3862 0.8711
Hg1 0.0879 0.0879 0.5000
Hg2 0.4121 0.4121 0.0000
Hg3 0.5879 0.5879 0.0000
Hg4 0.9121 0.9121 0.5000
Sb1 0.0673 0.6041 0.3732
Sb2 0.1041 0.5673 0.8732
Sb3 0.2312 0.7688 0.6165
Sb4 0.2688 0.7312 0.1165
Sb5 0.3959 0.9327 0.3732
Sb6 0.4327 0.8959 0.8732
Sb7 0.5673 0.1041 0.1268
Sb8 0.6041 0.0673 0.6268
Sb9 0.7312 0.2688 0.8835
Sb10 0.7688 0.2312 0.3835
Sb11 0.8959 0.4327 0.1268
Sb12 0.9327 0.3959 0.6268


12.
Density functional theory data (PBE) for an optimized crystal structure of SrHg3Sb.

Properties
uncorrected energy	-1.32	eV/atom
crystal system	cubic
theoretical density	7.46	g/cm³
ΔE_f (raw)	0.02	eV/atom
polymorph energy (0 for the lowest one)	1.815	eV/f.u.

abc: 5.6522 5.6522 5.6522
angles: 90.00 90.00 90.00
Atoms (fractional coordinates):
Sr1 0.0000 0.0000 0.0000
Hg1 0.0000 0.5000 0.5000
Hg2 0.5000 0.0000 0.5000
Hg3 0.5000 0.5000 0.0000
Sb1 0.5000 0.5000 0.5000